Computed, not measured: a relaxed structure of RbTmPdSe3 at the PBE level of DFT.

abc: 9.120 4.132 9.992
angles: 90.00 111.48 90.00
Fractional coordinates of all 12 atoms:
Pd: 0.912 0.250 0.413
Pd: 0.088 0.750 0.587
Se: 0.534 0.750 0.843
Se: 0.110 0.750 0.854
Se: 0.890 0.250 0.146
Se: 0.784 0.750 0.455
Se: 0.466 0.250 0.157
Se: 0.216 0.250 0.545
Rb: 0.218 0.750 0.245
Rb: 0.782 0.250 0.755
Tm: 0.677 0.750 0.142
Tm: 0.323 0.250 0.858

SG ... P2_1/m, No. 11
Uncorrected energy ... -4.66 eV per atom
Energy relative to the lowest polymorph listed for this composition ... 0.00 eV per formula unit



Computed, not measured: a relaxed structure of Rb2UPd3Se6 at the PBE level of DFT.

abc: 11.595 10.078 9.148
angles: 74.01 56.67 49.32
Each line ends with the local moment (μB).
Fractional coordinates of all 24 atoms:
Pd: 0.172 0.505 0.828  0.06
Pd: 0.495 0.828 0.505  0.06
Pd: 0.167 0.833 0.833  0.05
Pd: 0.833 0.167 0.167  0.05
Pd: 0.828 0.495 0.172  0.06
Pd: 0.505 0.172 0.495  0.06
Se: 0.410 0.185 0.815  -0.01
Se: 0.826 0.970 0.401  -0.01
Se: 0.970 0.826 0.802  -0.01
Se: 0.185 0.410 0.590  -0.01
Se: 0.599 0.198 0.174  -0.01
Se: 0.590 0.815 0.185  -0.01
Se: 0.198 0.599 0.030  -0.01
Se: 0.401 0.802 0.826  -0.01
Se: 0.815 0.590 0.410  -0.01
Se: 0.802 0.401 0.970  -0.01
Se: 0.174 0.030 0.599  -0.01
Se: 0.030 0.174 0.198  -0.01
Rb: 0.250 0.250 0.250  0.00
Rb: 0.307 0.693 0.307  0.00
Rb: 0.693 0.307 0.693  0.00
Rb: 0.750 0.750 0.750  0.00
U: 0.832 0.832 0.168  1.75
U: 0.168 0.168 0.832  1.75

SG ... Fmmm, No. 69
Uncorrected energy ... -5.01 eV per atom



Question: Which value of uncorrected energy does entry 2 give?
Answer: -5.01 eV per atom



Question: Look up the uncorrected energy of the first one.
Answer: -4.66 eV per atom